#1
Entry from Alexandria via LeMat-Bulk: a relaxed Sr3Al4 crystal (PBE-GGA).

Calculated values
Magnetization ... 0.00 μB/atom

Cell: 7.296 7.296 5.181 Å, 90.00 90.00 120.00°
Fractional positions:
Sr  0.500  0.000  0.000
Sr  0.000  0.500  0.000
Sr  0.500  0.500  0.000
Al  0.000  0.000  0.250
Al  0.667  0.333  0.500
Al  0.333  0.667  0.500
Al  0.000  0.000  0.750

=====

#2
Entry from Alexandria via LeMat-Bulk: a relaxed Sr3Al4 crystal (PBE-GGA).

Calculated values
Magnetization ... 0.00 μB/atom

Cell: 4.557 6.436 14.917 Å, 90.00 90.00 110.73°
Fractional positions:
Al  0.564  0.128  0.589
Al  0.438  0.876  0.089
Al  0.001  0.002  0.000
Al  0.001  0.002  0.500
Al  0.438  0.876  0.411
Al  0.564  0.129  0.911
Al  0.321  0.642  0.250
Al  0.681  0.363  0.750
Sr  0.276  0.552  0.899
Sr  0.726  0.453  0.399
Sr  0.276  0.552  0.602
Sr  0.025  0.049  0.250
Sr  0.978  0.956  0.750
Sr  0.727  0.453  0.102

=====

#3
Entry from Alexandria via LeMat-Bulk: a relaxed Sr3Al4 crystal (PBE-GGA).

Calculated values
Magnetization ... 0.00 μB/atom

Cell: 4.531 4.800 10.578 Å, 103.11 102.37 90.00°
Fractional positions:
Al  0.633  0.633  0.265
Al  0.065  0.565  0.130
Al  0.935  0.435  0.870
Al  0.367  0.367  0.735
Sr  0.500  0.000  0.000
Sr  0.815  0.815  0.630
Sr  0.185  0.185  0.370

=====

Which is the most stable structure? #3 is the most stable.

=====

#1
Entry from Alexandria via LeMat-Bulk: a relaxed Sr2Al3 crystal (PBE-GGA).

Calculated values
Magnetization ... 0.00 μB/atom

Cell: 6.778 7.599 10.951 Å, 90.00 90.00 90.00°
Fractional positions:
Sr  0.625  0.294  0.073
Sr  0.625  0.706  0.573
Sr  0.125  0.794  0.427
Sr  0.125  0.206  0.927
Sr  0.375  0.294  0.427
Sr  0.875  0.206  0.573
Sr  0.375  0.706  0.927
Sr  0.875  0.794  0.073
Al  0.162  0.527  0.678
Al  0.338  0.027  0.678
Al  0.500  0.646  0.250
Al  0.000  0.146  0.250
Al  0.338  0.973  0.178
Al  0.662  0.973  0.322
Al  0.162  0.473  0.178
Al  0.500  0.354  0.750
Al  0.000  0.854  0.750
Al  0.838  0.473  0.322
Al  0.838  0.527  0.822
Al  0.662  0.027  0.822

=====

#2
Entry from Alexandria via LeMat-Bulk: a relaxed Sr2Al3 crystal (PBE-GGA).

Calculated values
Magnetization ... 0.00 μB/atom

Cell: 9.810 8.900 6.142 Å, 79.08 62.98 37.94°
Fractional positions:
Sr  0.868  0.731  0.970
Sr  0.431  0.970  0.731
Sr  0.519  0.382  0.819
Sr  0.280  0.819  0.382
Al  0.851  0.399  0.307
Al  0.907  0.093  0.093
Al  0.443  0.307  0.399
Al  0.157  0.343  0.343
Al  0.851  0.399  0.807
Al  0.943  0.807  0.399

=====

Which is the most stable structure? #2 is the most stable.

=====

#1
Entry from Alexandria via LeMat-Bulk: a relaxed SrTaAl crystal (PBE-GGA).

Calculated values
Magnetization ... 0.00 μB/atom

Cell: 7.764 7.764 3.014 Å, 78.81 78.81 22.38°
Fractional positions:
Sr  0.340  0.340  0.660
Al  0.016  0.016  0.984
Ta  0.644  0.644  0.356

=====

#2
Entry from Alexandria via LeMat-Bulk: a relaxed SrTaAl crystal (PBE-GGA).

Calculated values
Magnetization ... 0.00 μB/atom

Cell: 3.176 3.176 7.914 Å, 90.00 90.00 120.00°
Fractional positions:
Ta  0.667  0.333  0.695
Al  0.000  0.000  0.972
Sr  0.333  0.667  0.333

=====

#3
Entry from Alexandria via LeMat-Bulk: a relaxed SrTaAl crystal (PBE-GGA).

Calculated values
Magnetization ... 0.77 μB/atom

Cell: 5.052 5.052 5.052 Å, 60.00 60.00 60.00°
Fractional positions:
Al  0.500  0.500  0.500
Ta  0.000  0.000  0.000
Sr  0.750  0.750  0.750

=====

#4
Entry from Alexandria via LeMat-Bulk: a relaxed SrTaAl crystal (PBE-GGA).

Calculated values
Magnetization ... 0.52 μB/atom

Cell: 4.899 4.899 4.899 Å, 60.00 60.00 60.00°
Fractional positions:
Ta  0.500  0.500  0.500
Sr  0.000  0.000  0.000
Al  0.750  0.750  0.750

=====

Which is the most stable structure? #1 is the most stable.

=====

#1
Entry from Alexandria via LeMat-Bulk: a relaxed SrTa3Al crystal (PBE-GGA).

Calculated values
Magnetization ... 0.00 μB/atom

Cell: 4.863 4.863 4.863 Å, 90.00 90.00 90.00°
Fractional positions:
Al  0.500  0.500  0.500
Ta  0.500  0.000  0.000
Ta  0.000  0.000  0.500
Ta  0.000  0.500  0.000
Sr  0.000  0.000  0.000

=====

#2
Entry from Alexandria via LeMat-Bulk: a relaxed SrTa3Al crystal (PBE-GGA).

Calculated values
Magnetization ... 0.00 μB/atom

Cell: 4.942 4.942 4.942 Å, 90.00 90.00 90.00°
Fractional positions:
Sr  0.500  0.500  0.500
Ta  0.500  0.000  0.000
Ta  0.000  0.500  0.000
Ta  0.000  0.000  0.500
Al  0.000  0.000  0.000

=====

Which is the most stable structure? #2 is the most stable.

=====

#1
Entry from Alexandria via LeMat-Bulk: a relaxed SrTb3Al8 crystal (PBE-GGA).

Calculated values
Magnetization ... 0.00 μB/atom

Cell: 5.631 5.631 9.789 Å, 73.29 73.29 60.00°
Fractional positions:
Al  0.433  0.937  0.694
Al  0.439  0.439  0.181
Al  0.937  0.433  0.694
Al  0.439  0.942  0.181
Al  0.187  0.187  0.438
Al  0.687  0.687  0.938
Al  0.942  0.439  0.181
Al  0.937  0.937  0.694
Tb  0.375  0.375  0.874
Tb  0.000  0.000  0.001
Tb  0.500  0.500  0.501
Sr  0.875  0.875  0.375

=====

#2
Entry from Alexandria via LeMat-Bulk: a relaxed SrTb3Al8 crystal (PBE-GGA).

Calculated values
Magnetization ... 0.00 μB/atom

Cell: 5.643 5.643 9.209 Å, 90.00 90.00 120.00°
Fractional positions:
Tb  0.000  0.000  0.932
Tb  0.667  0.333  0.068
Tb  0.667  0.333  0.432
Al  0.333  0.667  0.000
Al  0.333  0.667  0.500
Al  0.505  0.495  0.757
Al  0.675  0.838  0.243
Al  0.505  0.010  0.757
Al  0.990  0.495  0.757
Al  0.162  0.325  0.243
Al  0.162  0.838  0.243
Sr  0.000  0.000  0.567

=====

Which is the most stable structure? #1 is the most stable.

=====

#1
Entry from Alexandria via LeMat-Bulk: a relaxed SrAl2Tc crystal (PBE-GGA).

Calculated values
Magnetization ... 0.00 μB/atom

Cell: 6.710 5.363 2.890 Å, 89.97 64.54 120.64°
Fractional positions:
Al  0.000  0.000  0.000
Al  0.500  0.000  0.500
Sr  0.000  0.500  0.500
Tc  0.500  0.500  0.000

=====

#2
Entry from Alexandria via LeMat-Bulk: a relaxed SrAl2Tc crystal (PBE-GGA).

Calculated values
Magnetization ... 0.18 μB/atom

Cell: 5.175 5.175 9.149 Å, 73.57 73.57 90.00°
Fractional positions:
Tc  0.000  0.000  0.000
Tc  0.750  0.250  0.500
Al  0.875  0.125  0.750
Al  0.375  0.125  0.750
Al  0.875  0.625  0.250
Al  0.875  0.125  0.250
Sr  0.500  0.500  0.000
Sr  0.250  0.750  0.500

=====

Which is the most stable structure? #2 is the most stable.